First-principles (PBE) data for a relaxed Sm6SnRu2I3 crystal, as listed in Alexandria.

Cell lengths 7.362, 12.754, 8.407 Å; angles 90.00, 107.08, 90.00 degrees
Space group C2/m (No. 12)
Asymmetric unit:
Sm 0.194 0.000 0.191 [4 per cell]
Sm 0.249 0.315 0.192 [8 per cell]
Sn 0.000 0.500 0.000 [2 per cell]
Ru 0.000 0.167 0.000 [4 per cell]
I 0.000 0.000 0.500 [2 per cell]
I 0.000 0.339 0.500 [4 per cell]

- density (g/cm³) = 7.1
- formation energy without anion corrections (eV/atom) = -0.7127
- total magnetization (μB per formula unit) = 0.00

***

First-principles (PBE) data for a relaxed SmThRuI crystal, as listed in Alexandria.

Cell lengths 4.1279, 4.1279, 24.6965 Å; angles 90.00, 90.00, 120.00 degrees
Space group R3m (No. 160, hexagonal axes)
Asymmetric unit:
Sm 0.0000 0.0000 0.0000 [3 per cell]
Th 0.0000 0.0000 0.7872 [3 per cell]
Ru 0.0000 0.0000 0.3996 [3 per cell]
I 0.0000 0.0000 0.2304 [3 per cell]

- density (g/cm³) = 8.3
- formation energy without anion corrections (eV/atom) = -0.7284
- total magnetization (μB per formula unit) = 0.00

***

First-principles (PBE) data for a relaxed Sn2Ru2I crystal, as listed in Alexandria.

Cell lengths 8.093, 8.093, 3.128 Å; angles 90.00, 90.00, 90.00 degrees
Space group P4/mbm (No. 127)
Asymmetric unit:
Sn 0.146 0.354 0.000 [4 per cell]
Ru 0.143 0.643 0.500 [4 per cell]
I 0.000 0.000 0.000 [2 per cell]

- offset from the most stable computed form (meV per atom) = 34
- density (g/cm³) = 9.2
- formation energy without anion corrections (eV/atom) = 0.5226
- total magnetization (μB per formula unit) = 0.00

***

First-principles (PBE) data for a relaxed SnRuI3 crystal, as listed in Alexandria.

Cell lengths 6.071, 6.071, 6.071 Å; angles 90.00, 90.00, 90.00 degrees
Space group Pm-3m (No. 221)
Asymmetric unit:
Sn 0.000 0.000 0.000 [1 per cell]
Ru 0.500 0.500 0.500 [1 per cell]
I 0.000 0.000 0.500 [3 per cell]

- offset from the most stable computed form (meV per atom) = 526
- density (g/cm³) = 4.5
- formation energy without anion corrections (eV/atom) = 0.8382
- total magnetization (μB per formula unit) = 3.05

***

First-principles (PBE) data for a relaxed Sn2RuI crystal, as listed in Alexandria.

Cell lengths 6.626, 6.626, 13.130 Å; angles 90.00, 90.00, 90.00 degrees
Space group I-42d (No. 122)
Asymmetric unit:
Sn 0.146 0.250 0.125 [8 per cell]
Ru 0.000 0.000 0.000 [4 per cell]
I 0.000 0.000 0.500 [4 per cell]

- offset from the most stable computed form (meV per atom) = 0
- density (g/cm³) = 5.4
- formation energy without anion corrections (eV/atom) = 0.3278
- total magnetization (μB per formula unit) = 0.00

***

First-principles (PBE) data for a relaxed Sn3RuI crystal, as listed in Alexandria.

Cell lengths 5.190, 5.190, 5.190 Å; angles 90.00, 90.00, 90.00 degrees
Space group Pm-3m (No. 221)
Asymmetric unit:
Sn 0.000 0.000 0.500 [3 per cell]
Ru 0.000 0.000 0.000 [1 per cell]
I 0.500 0.500 0.500 [1 per cell]

- offset from the most stable computed form (meV per atom) = 0
- density (g/cm³) = 6.9
- formation energy without anion corrections (eV/atom) = -0.1004
- total magnetization (μB per formula unit) = 0.00

***

First-principles (PBE) data for a relaxed Sn2RuI crystal, as listed in Alexandria.

Cell lengths 7.323, 7.323, 7.323 Å; angles 90.00, 90.00, 90.00 degrees
Space group Fm-3m (No. 225)
Asymmetric unit:
Sn 0.250 0.250 0.250 [8 per cell]
Ru 0.000 0.000 0.000 [4 per cell]
I 0.000 0.000 0.500 [4 per cell]

- offset from the most stable computed form (meV per atom) = 476
- density (g/cm³) = 7.9
- formation energy without anion corrections (eV/atom) = 0.8040
- total magnetization (μB per formula unit) = 1.23

***

First-principles (PBE) data for a relaxed Sn3RuI crystal, as listed in Alexandria.

Cell lengths 5.783, 5.783, 5.783 Å; angles 90.00, 90.00, 90.00 degrees
Space group Pm-3m (No. 221)
Asymmetric unit:
Sn 0.000 0.000 0.500 [3 per cell]
Ru 0.500 0.500 0.500 [1 per cell]
I 0.000 0.000 0.000 [1 per cell]

- offset from the most stable computed form (meV per atom) = 1749
- density (g/cm³) = 5.0
- formation energy without anion corrections (eV/atom) = 1.6482
- total magnetization (μB per formula unit) = 2.56

***

Q: Which formula does entry 1 have?
A: Sm6SnRu2I3